(1)
Entry from the Alexandria database: an optimized crystal structure of LiTbPaRh (GGA-PBE).

a b c (Å): 4.9300 4.9300 4.9300
angles (deg): 60.00 60.00 60.00
Positions (direct):
Li: 0.0000 0.0000 0.0000
Tb: 0.2500 0.2500 0.2500
Pa: 0.7500 0.7500 0.7500
Rh: 0.5000 0.5000 0.5000

Results
ΔE_f = -143 meV/atom
Raw total energy = -24.0 eV for the cell shown

=====

(2)
Entry from the Alexandria database: an optimized crystal structure of KYAu2 (GGA-PBE).

a b c (Å): 3.7407 3.7407 8.5605
angles (deg): 90.00 90.00 90.00
Positions (direct):
K: 0.0000 0.0000 0.0000
Y: 0.5000 0.5000 0.4159
Au: 0.0000 0.0000 0.5747
Au: 0.5000 0.5000 0.7480

Results
Distance to the lowest polymorph of the same formula = 293 meV per atom
ΔE_f = -287 meV/atom
Raw total energy = -15.3 eV for the cell shown